3
Lattice="-1.531 -3.481 0.763 1.588 0.077 3.538 -2.776 3.173 -0.949" Properties=species:S:1:pos:R:3 comment="ThBC PBE relaxed" total_magnetization_mub_per_fu=0.0 mass_density_kg_m3=8423 e_form_mev_per_atom=-47.2 dos_ef_per_ev_atom=0.486 relative_energy_mev_per_atom=423.4 pbc="T T T"
C -0.296 -1.529 2.292
B -1.904 1.020 0.833
Th -2.412 -0.396 3.218